(1)
This record from Alexandria describes Sr2In3SbPd4 after structural relaxation. The functional is PBE.

Computed properties:
- uncorrected formation energy (meV per atom) = -640.0

Cell and atoms, written as CIF:
```
data_Sr2In3SbPd4
_chemical_formula_sum 'Sr2 In3 Sb1 Pd4'
_symmetry_space_group_name_H-M 'P -4 m 2'
_symmetry_Int_Tables_number 115
_symmetry_space_group_name_Hall 'P -4 -2'
_cell_length_a 4.796
_cell_length_b 4.796
_cell_length_c 10.485
_cell_angle_alpha 90.00
_cell_angle_beta 90.00
_cell_angle_gamma 90.00
loop_
_atom_site_label
_atom_site_type_symbol
_atom_site_fract_x
_atom_site_fract_y
_atom_site_fract_z
Sr1 Sr 0.000 0.500 0.241
In1 In 0.000 0.500 0.880
In2 In 0.500 0.500 0.500
Sb1 Sb 0.000 0.000 0.500
Pd1 Pd 0.000 0.000 0.000
Pd2 Pd 0.000 0.500 0.625
Pd3 Pd 0.500 0.500 0.000
```

***

(2)
This record from Alexandria describes AlV3Co after structural relaxation. The functional is PBE.

Computed properties:
- energy relative to the lowest polymorph listed for this composition (eV/f.u.) = 2.321

Cell and atoms, written as CIF:
```
data_AlV3Co
_chemical_formula_sum 'Al1 V3 Co1'
_symmetry_space_group_name_H-M 'P m -3 m'
_symmetry_Int_Tables_number 221
_symmetry_space_group_name_Hall '-P 4 2 3'
_cell_length_a 4.311
_cell_length_b 4.311
_cell_length_c 4.311
_cell_angle_alpha 90.00
_cell_angle_beta 90.00
_cell_angle_gamma 90.00
loop_
_atom_site_label
_atom_site_type_symbol
_atom_site_fract_x
_atom_site_fract_y
_atom_site_fract_z
Al1 Al 0.000 0.000 0.000
V1 V 0.000 0.500 0.500
Co1 Co 0.500 0.500 0.500
```

***

(3)
This record from Alexandria describes CsAlIn after structural relaxation. The functional is PBE.

Computed properties:
- energy relative to the lowest polymorph listed for this composition (eV/f.u.) = 0.117

Cell and atoms, written as CIF:
```
data_CsAlIn
_chemical_formula_sum 'Cs2 Al2 In2'
_symmetry_space_group_name_H-M 'P 1 m 1'
_symmetry_Int_Tables_number 6
_symmetry_space_group_name_Hall 'P -2y'
_cell_length_a 5.017
_cell_length_b 4.778
_cell_length_c 9.499
_cell_angle_alpha 90.00
_cell_angle_beta 92.34
_cell_angle_gamma 90.00
loop_
_atom_site_label
_atom_site_type_symbol
_atom_site_fract_x
_atom_site_fract_y
_atom_site_fract_z
Cs1 Cs 0.000 0.000 0.000
Cs2 Cs 0.484 0.500 0.677
Al1 Al 0.066 0.500 0.325
Al2 Al 0.571 0.500 0.190
In1 In 0.439 0.000 0.331
In2 In 0.947 0.000 0.503
```

***

The calculation returns the following electronic total energy values, one per record and in order: -4.287, -7.058, -2.414 eV per atom.